Below is a relaxed LiCdTc2O8 crystal, with properties calculated at the PBE level.

Theoretical density in Mg/m³: 4.706
Formation energy from raw total energies in eV per atom: -1.40

abc: 5.1316 5.1316 6.9613
angles: 111.63 111.63 90.00
Sites, in units of the cell vectors:
Tc  0.5000  0.5000  0.0000
Tc  0.2500  0.7500  0.5000
O  0.5735  0.6691  0.6567
O  0.0833  0.9877  0.6567
O  0.6655  0.2602  0.8412
O  0.3309  0.9167  0.3433
O  0.0123  0.4265  0.3433
O  0.4190  0.3345  0.1588
O  0.7398  0.8243  0.1588
O  0.1757  0.5810  0.8412
Li  0.7500  0.2500  0.5000
Cd  0.0000  0.0000  0.0000